1.
## La4GaHg2 (PBE)

Data for a relaxed La4GaHg2 crystal.

The structure in CIF format:
```
data_La4GaHg2
_cell_length_a 7.7805
_cell_length_b 10.7604
_cell_length_c 5.3439
_cell_angle_alpha 90.00
_cell_angle_beta 90.00
_cell_angle_gamma 90.00
_symmetry_space_group_name_H-M 'C m m m'
_symmetry_Int_Tables_number 65
_symmetry_space_group_name_Hall '-C 2 2'
loop_
_atom_site_label
_atom_site_type_symbol
_atom_site_fract_x
_atom_site_fract_y
_atom_site_fract_z
La1 La 0.2494 0.0000 0.0000
La2 La 0.2500 0.2500 0.5000
Ga1 Ga 0.0000 0.5000 0.5000
Hg1 Hg 0.0000 0.2545 0.0000
```

DFT formation energy = -36.5 kJ/mol of atoms
total moment = 0.07 μB/atom
volume = 447.4 Å³ per cell

2.
## NaZn2GeS4 (PBE)

Data for a relaxed NaZn2GeS4 crystal.

The structure in CIF format:
```
data_NaZn2GeS4
_cell_length_a 8.0811
_cell_length_b 8.0841
_cell_length_c 11.2937
_cell_angle_alpha 90.00
_cell_angle_beta 90.00
_cell_angle_gamma 90.00
_symmetry_space_group_name_H-M 'F m m 2'
_symmetry_Int_Tables_number 42
_symmetry_space_group_name_Hall 'F 2 -2'
loop_
_atom_site_label
_atom_site_type_symbol
_atom_site_fract_x
_atom_site_fract_y
_atom_site_fract_z
Na1 Na 0.0000 0.0000 0.0000
Zn1 Zn 0.2500 0.2500 0.2504
Ge1 Ge 0.0000 0.0000 0.5005
S1 S 0.0000 0.2308 0.3630
S2 S 0.2311 0.0000 0.6378
```

total moment = 0.00 μB/atom
uncorrected formation energy = -599.9 meV per atom
volume = 737.8 Å³ per cell

3.
## CePuAg4 (PBE)

Data for a relaxed CePuAg4 crystal.

The structure in CIF format:
```
data_CePuAg4
_cell_length_a 8.1134
_cell_length_b 8.1134
_cell_length_c 8.1134
_cell_angle_alpha 90.00
_cell_angle_beta 90.00
_cell_angle_gamma 90.00
_symmetry_space_group_name_H-M 'F -4 3 m'
_symmetry_Int_Tables_number 216
_symmetry_space_group_name_Hall 'F -4 2 3'
loop_
_atom_site_label
_atom_site_type_symbol
_atom_site_fract_x
_atom_site_fract_y
_atom_site_fract_z
Ce1 Ce 0.0000 0.0000 0.0000
Pu1 Pu 0.2500 0.2500 0.2500
Ag1 Ag 0.1250 0.1250 0.6250
```

DFT formation energy = -1.5 kJ/mol of atoms
E above lowest polymorph = 82 meV per atom
total moment = 1.29 μB/atom
volume = 534.1 Å³ per cell

4.
## HgSbMo4 (PBE)

Data for a relaxed HgSbMo4 crystal.

The structure in CIF format:
```
data_HgSbMo4
_cell_length_a 7.5887
_cell_length_b 7.5887
_cell_length_c 7.5887
_cell_angle_alpha 90.00
_cell_angle_beta 90.00
_cell_angle_gamma 90.00
_symmetry_space_group_name_H-M 'F -4 3 m'
_symmetry_Int_Tables_number 216
_symmetry_space_group_name_Hall 'F -4 2 3'
loop_
_atom_site_label
_atom_site_type_symbol
_atom_site_fract_x
_atom_site_fract_y
_atom_site_fract_z
Hg1 Hg 0.0000 0.0000 0.0000
Sb1 Sb 0.2500 0.2500 0.2500
Mo1 Mo 0.1267 0.1267 0.6267
```

total moment = 0.00 μB/atom
uncorrected formation energy = 568.5 meV per atom
volume = 437.0 Å³ per cell

5.
## TbY2Ho6Tm (PBE)

Data for a relaxed TbY2Ho6Tm crystal.

The structure in CIF format:
```
data_TbY2Ho6Tm
_cell_length_a 9.0364
_cell_length_b 14.9531
_cell_length_c 9.4654
_cell_angle_alpha 90.00
_cell_angle_beta 96.99
_cell_angle_gamma 90.00
_symmetry_space_group_name_H-M 'C 1 2/c 1'
_symmetry_Int_Tables_number 15
loop_
_symmetry_equiv_pos_as_xyz
'x,y,z'
'-x,-y,-z'
'-x,y,-z+1/2'
'x,-y,z+1/2'
'x+1/2,y+1/2,z'
'-x+1/2,-y+1/2,-z'
'-x+1/2,y+1/2,-z+1/2'
'x+1/2,-y+1/2,z+1/2'
loop_
_atom_site_label
_atom_site_type_symbol
_atom_site_fract_x
_atom_site_fract_y
_atom_site_fract_z
Tb1 Tb 0.0000 0.0247 0.2500
Y1 Y 0.2492 0.4481 0.4548
Ho1 Ho 0.0616 0.1864 0.9430
Ho2 Ho 0.1005 0.3911 0.1186
Ho3 Ho 0.2071 0.2243 0.3141
Tm1 Tm 0.0000 0.4096 0.7500
```

DFT formation energy = 12.1 kJ/mol of atoms
total moment = 0.00 μB/atom
volume = 1269.5 Å³ per cell

6.
## NaTlGeO2 (PBE)

Data for a relaxed NaTlGeO2 crystal.

The structure in CIF format:
```
data_NaTlGeO2
_cell_length_a 4.3044
_cell_length_b 4.3044
_cell_length_c 5.0937
_cell_angle_alpha 90.00
_cell_angle_beta 90.00
_cell_angle_gamma 90.00
_symmetry_space_group_name_H-M 'P 4/m m m'
_symmetry_Int_Tables_number 123
_symmetry_space_group_name_Hall '-P 4 2'
loop_
_atom_site_label
_atom_site_type_symbol
_atom_site_fract_x
_atom_site_fract_y
_atom_site_fract_z
Na1 Na 0.0000 0.0000 0.0000
Tl1 Tl 0.5000 0.5000 0.5000
Ge1 Ge 0.0000 0.0000 0.5000
O1 O 0.0000 0.5000 0.0000
```

total moment = 0.31 μB/atom
uncorrected formation energy = 371.6 meV per atom
volume = 94.4 Å³ per cell